## LiNd2TmSe5 (PBE-GGA)

Data for a geometry-optimized LiNd2TmSe5 structure.

abc: 8.8686 8.8686 12.4252
angles: 90.00 90.00 153.07
Element x y z (fractional)
Li 0.0144 0.9856 0.5000
Li 0.9856 0.0144 0.0000
Nd 0.3739 0.6261 0.3158
Nd 0.3928 0.6072 0.7047
Nd 0.6072 0.3928 0.2047
Nd 0.6261 0.3739 0.8158
Tm 0.3029 0.6971 0.0222
Tm 0.6971 0.3029 0.5222
Se 0.0001 0.9999 0.3028
Se 0.9999 0.0001 0.8028
Se 0.1388 0.8612 0.0168
Se 0.1926 0.8074 0.3650
Se 0.2154 0.7846 0.6787
Se 0.4518 0.5482 0.0897
Se 0.5482 0.4518 0.5897
Se 0.7846 0.2154 0.1787
Se 0.8074 0.1926 0.8650
Se 0.8612 0.1388 0.5168

Results
- total DFT energy (no corrections) (eV for the cell shown) = -98.21
- density (g/cm3) = 6.448
- energy relative to the elements, uncorrected (eV per atom) = -1.75